(1)
Entry from the Alexandria database: crystalline CsTbW2O8 at its relaxed geometry (PBE with a Hubbard U).

Output
For the volume, the calculation gives 21.976 Å³ per atom. As for the total energy: -7.328 eV/atom.

a b c (Å): 5.8542 5.8542 26.6558
angles (deg): 90.00 90.00 120.00
Last column: nearest neighbours and their distance in Å.
Space group R-3 (No. 148, hexagonal axes)
One atom of each set of equivalent atoms:
1 Cs 0.0000 0.0000 0.0000 (multiplicity 3)  6 O 3.47
2 Tb 0.0000 0.0000 0.5000 (multiplicity 3)  6 O 2.28
3 W 0.0000 0.0000 0.2378 (multiplicity 6)  4 O 1.78-1.83
4 O 0.0000 0.0000 0.3046 (multiplicity 6)  1 W 1.78
5 O 0.0124 0.4033 0.8829 (multiplicity 18)  1 W 1.83

***

(2)
Entry from the Alexandria database: crystalline CsTbW2O8 at its relaxed geometry (PBE with a Hubbard U).

Output
For the volume, the calculation gives 14.447 Å³ per atom. As for the total energy: -7.370 eV/atom.

a b c (Å): 11.0891 10.8257 7.5635
angles (deg): 90.00 130.20 90.00
Last column: nearest neighbours and their distance in Å.
Space group C2/c (No. 15)
One atom of each set of equivalent atoms:
1 Cs 0.0000 0.1996 0.2500 (multiplicity 4)  10 O 2.96-3.09
2 Tb 0.0000 0.2226 0.7500 (multiplicity 4)  6 O 2.29-2.35
3 W 0.1923 0.4952 0.7132 (multiplicity 8)  4 O 1.84-2.05
4 O 0.0150 0.3909 0.9606 (multiplicity 8)  2 W 2.05-2.09
5 O 0.1429 0.0923 0.7078 (multiplicity 8)  1 W 1.84
6 O 0.1845 0.4387 0.4350 (multiplicity 8)  1 W 1.88
7 O 0.2084 0.1499 0.1237 (multiplicity 8)  1 W 1.86

***

(3)
Entry from the Alexandria database: crystalline Cs2TbW3O12 at its relaxed geometry (PBE with a Hubbard U).

Output
For the volume, the calculation gives 17.363 Å³ per atom. As for the total energy: -7.049 eV/atom.

a b c (Å): 7.5250 7.5250 19.1197
angles (deg): 90.00 90.00 120.00
Last column: nearest neighbours and their distance in Å.
Space group R-3m (No. 166, hexagonal axes)
One atom of each set of equivalent atoms:
1 Cs 0.0000 0.0000 0.1253 (multiplicity 6)  6 O 3.25-3.50
2 Tb 0.0000 0.0000 0.5000 (multiplicity 3)  6 O 2.28
3 W 0.0000 0.5000 0.0000 (multiplicity 9)  6 O 1.90-1.96
4 O 0.0476 0.5238 0.0982 (multiplicity 18)  1 W 1.90
5 O 0.0881 0.5440 0.3449 (multiplicity 18)  2 W 1.96

***

Among the records above, which one has the lowest volume?
number 2

***

Which value of volume does entry 1 give?
21.976 Å³ per atom

***

volume of number 1 (CsTbW2O8)?
21.976 Å³ per atom